A geometry-optimized NaTi2MnIn structure, computed with GGA-PBE.

Results
For the energy of formation, the calculation gives 1372 meV per atom. Its crystal system is tetragonal. As for the density of states at the Fermi level: 7.1 states/eV/f.u. The volume is 107.3 Å³/cell. As for the density: 4.46 g/cm³.

Cell lengths 4.8322, 4.8322, 4.5949 Å; angles 90.00, 90.00, 90.00 degrees
Last column: nearest neighbours and their distance in Å.
Space group P4/mmm (No. 123)
Symmetry-distinct sites (fractional):
Na1 0.0000 0.0000 0.0000  2 Mn 2.30, 4 Ti 2.42
Ti1 0.0000 0.5000 0.0000  2 Na 2.42
Mn1 0.0000 0.0000 0.5000  2 Na 2.30
In1 0.5000 0.5000 0.5000  8 Ti 3.33, 4 Mn 3.42